[1]
The following is a PBE calculation of crystalline YSiRu3 at its relaxed geometry, from Alexandria.

Lattice parameters (Å, degrees): 4.4592 4.4592 4.4592 90.00 90.00 90.00
Last column: nearest neighbours and their distance in Å.
Fractional positions:
Y (0.0000, 0.0000, 0.0000)  12 Ru 3.15
Si (0.5000, 0.5000, 0.5000)  6 Ru 2.23
Ru (0.0000, 0.5000, 0.5000)  2 Si 2.23
Ru (0.5000, 0.0000, 0.5000)  2 Si 2.23
Ru (0.5000, 0.5000, 0.0000)  2 Si 2.23

Computed properties:
ΔE_f (raw) in meV per atom: -81.4
Crystal system: cubic
Energy relative to the lowest polymorph listed for this composition in meV/atom: 0.0


[2]
The following is a PBE calculation of crystalline Ba4Li2N at its relaxed geometry, from Alexandria.

Lattice parameters (Å, degrees): 7.6273 8.3083 11.0354 90.00 109.70 90.00
Last column: nearest neighbours and their distance in Å.
Fractional positions:
Ba (0.1663, 0.2500, 0.0340)  1 N 2.53
Ba (0.2381, 0.7500, 0.3376)  1 N 2.52
Ba (0.2413, 0.0084, 0.7255)  1 N 2.50
Ba (0.2413, 0.4916, 0.7255)  1 N 2.50
Ba (0.7587, 0.5084, 0.2745)  1 N 2.50
Ba (0.7587, 0.9916, 0.2745)  1 N 2.50
Ba (0.7619, 0.2500, 0.6624)  1 N 2.52
Ba (0.8337, 0.7500, 0.9660)  1 N 2.53
Li (0.2411, 0.2500, 0.4086)  8 Ba 3.98-4.23
Li (0.3767, 0.7500, 0.0341)  1 N 3.78, 7 Ba 3.79-3.95
Li (0.6233, 0.2500, 0.9659)  1 N 3.78, 7 Ba 3.79-3.95
Li (0.7589, 0.7500, 0.5914)  8 Ba 3.98-4.23
N (0.1033, 0.2500, 0.7937)  4 Ba 2.50-2.53
N (0.8967, 0.7500, 0.2063)  4 Ba 2.50-2.53

Computed properties:
ΔE_f (raw) in meV per atom: -126.6
Crystal system: monoclinic
Energy relative to the lowest polymorph listed for this composition in meV/atom: 0.0


[3]
The following is a PBE calculation of crystalline NaVHg2 at its relaxed geometry, from Alexandria.

Lattice parameters (Å, degrees): 10.3031 10.3031 10.3031 154.03 154.03 37.06
Last column: nearest neighbours and their distance in Å.
Fractional positions:
Na (0.0000, 0.0000, 0.0000)  4 Hg 3.00, 4 V 3.27
Na (0.7500, 0.2500, 0.5000)  4 Hg 3.00, 4 V 3.27
V (0.2500, 0.7500, 0.5000)  4 Hg 2.89
V (0.5000, 0.5000, 0.0000)  4 Hg 2.89
Hg (0.1560, 0.6250, 0.0310)  2 V 2.89, 2 Na 3.00, 2 Hg 3.08
Hg (0.3750, 0.4060, 0.5310)  2 V 2.89, 2 Na 3.00, 2 Hg 3.08
Hg (0.5940, 0.1250, 0.9690)  2 V 2.89, 2 Na 3.00, 2 Hg 3.08
Hg (0.8750, 0.8440, 0.4690)  2 V 2.89, 2 Na 3.00, 2 Hg 3.08

Computed properties:
Crystal system: tetragonal
E_form in meV per atom: 535.7


[4]
The following is a PBE calculation of crystalline MnP2PbS at its relaxed geometry, from Alexandria.

Lattice parameters (Å, degrees): 4.2877 4.2877 5.4258 90.00 90.00 90.00
Last column: nearest neighbours and their distance in Å.
Fractional positions:
Mn (0.0000, 0.0000, 0.0000)  4 P 2.14
P (0.0000, 0.5000, 0.0000)  2 Mn 2.14
P (0.5000, 0.0000, 0.0000)  2 Mn 2.14
Pb (0.5000, 0.5000, 0.5000)  4 S 3.03
S (0.0000, 0.0000, 0.5000)  2 Mn 2.71, 4 Pb 3.03

Computed properties:
ΔE_f (raw) in meV per atom: 172.1
Crystal system: tetragonal
Energy relative to the lowest polymorph listed for this composition in meV/atom: 0.0


[5]
The following is a PBE calculation of crystalline La4PrNd5 at its relaxed geometry, from Alexandria.

Lattice parameters (Å, degrees): 10.7258 10.7258 6.1701 90.00 90.00 90.00
Last column: nearest neighbours and their distance in Å.
Fractional positions:
La (0.0495, 0.7500, 0.1311)  1 Nd 3.13, 1 Pr 3.22, 2 La 3.45
La (0.2500, 0.5495, 0.8689)  1 Nd 3.13, 1 Pr 3.22, 2 La 3.45
La (0.2500, 0.9505, 0.8689)  1 Nd 3.13, 1 Pr 3.22, 2 La 3.45
La (0.4505, 0.7500, 0.1311)  1 Nd 3.13, 1 Pr 3.22, 2 La 3.45
La (0.5495, 0.2500, 0.8689)  1 Nd 3.13, 1 Pr 3.22, 2 La 3.45
La (0.7500, 0.0495, 0.1311)  1 Nd 3.13, 1 Pr 3.22, 2 La 3.45
La (0.7500, 0.4505, 0.1311)  1 Nd 3.13, 1 Pr 3.22, 2 La 3.45
La (0.9505, 0.2500, 0.8689)  1 Nd 3.13, 1 Pr 3.22, 2 La 3.45
Pr (0.2500, 0.2500, 0.8287)  4 La 3.22
Pr (0.7500, 0.7500, 0.1713)  4 La 3.22
Nd (0.0895, 0.0895, 0.3436)  3 Nd 3.33-3.44, 2 La 3.71
Nd (0.0895, 0.4105, 0.3436)  3 Nd 3.33-3.44, 2 La 3.71
Nd (0.2500, 0.7500, 0.5000)  4 La 3.13
Nd (0.4105, 0.0895, 0.3436)  3 Nd 3.33-3.44, 2 La 3.71
Nd (0.4105, 0.4105, 0.3436)  3 Nd 3.33-3.44, 2 La 3.71
Nd (0.5895, 0.5895, 0.6564)  3 Nd 3.33-3.44, 2 La 3.71
Nd (0.5895, 0.9105, 0.6564)  3 Nd 3.33-3.44, 2 La 3.71
Nd (0.7500, 0.2500, 0.5000)  4 La 3.13
Nd (0.9105, 0.5895, 0.6564)  3 Nd 3.33-3.44, 2 La 3.71
Nd (0.9105, 0.9105, 0.6564)  3 Nd 3.33-3.44, 2 La 3.71

Computed properties:
Crystal system: tetragonal
E_form in meV per atom: 140.9
Energy relative to the lowest polymorph listed for this composition in meV/atom: 0.0


[6]
The following is a PBE calculation of crystalline YBe3Au at its relaxed geometry, from Alexandria.

Lattice parameters (Å, degrees): 4.9843 4.9843 4.9843 90.00 90.00 90.00
Last column: nearest neighbours and their distance in Å.
Fractional positions:
Y (0.0000, 0.0000, 0.0000)  6 Be 2.49
Be (0.0000, 0.0000, 0.5000)  2 Y 2.49
Be (0.0000, 0.5000, 0.0000)  2 Y 2.49
Be (0.5000, 0.0000, 0.0000)  2 Y 2.49
Au (0.5000, 0.5000, 0.5000)  12 Be 3.52

Computed properties:
Crystal system: cubic
E_form in meV per atom: 1982.3
Energy relative to the lowest polymorph listed for this composition in meV/atom: 1919.0


[7]
The following is a PBE calculation of crystalline Sc6GaRh2 at its relaxed geometry, from Alexandria.

Lattice parameters (Å, degrees): 7.8498 7.8498 7.8498 111.98 111.91 104.63
Last column: nearest neighbours and their distance in Å.
Fractional positions:
Sc (0.0426, 0.2408, 0.8017)  2 Rh 2.60-2.89, 1 Ga 2.89
Sc (0.1810, 0.2820, 0.4630)  3 Rh 2.82-2.83, 1 Ga 2.94
Sc (0.1810, 0.7180, 0.8990)  3 Rh 2.82-2.83, 1 Ga 2.94
Sc (0.3302, 0.0344, 0.7042)  3 Rh 2.56-2.83
Sc (0.3302, 0.6260, 0.2958)  3 Rh 2.56-2.83
Sc (0.4391, 0.2408, 0.1983)  2 Rh 2.60-2.89, 1 Ga 2.89
Sc (0.5609, 0.7592, 0.8017)  2 Rh 2.60-2.89, 1 Ga 2.89
Sc (0.6698, 0.3740, 0.7042)  3 Rh 2.56-2.83
Sc (0.6698, 0.9656, 0.2958)  3 Rh 2.56-2.83
Sc (0.8190, 0.2820, 0.1010)  3 Rh 2.82-2.83, 1 Ga 2.94
Sc (0.8190, 0.7180, 0.5370)  3 Rh 2.82-2.83, 1 Ga 2.94
Sc (0.9574, 0.7592, 0.1983)  2 Rh 2.60-2.89, 1 Ga 2.89
Ga (0.0000, 0.0000, 0.0000)  8 Sc 2.89-2.94, 2 Rh 2.93
Ga (0.5000, 0.5000, 0.0000)  12 Sc 3.04-3.39
Rh (0.1393, 0.6393, 0.5000)  6 Sc 2.56-2.83, 1 Rh 2.67
Rh (0.3337, 0.0000, 0.3337)  8 Sc 2.60-2.83
Rh (0.6663, 0.0000, 0.6663)  8 Sc 2.60-2.83
Rh (0.8607, 0.3607, 0.5000)  6 Sc 2.56-2.83, 1 Rh 2.67

Computed properties:
Crystal system: orthorhombic
E_form in meV per atom: -620.5


[8]
The following is a PBE calculation of crystalline AlRh2SeBr at its relaxed geometry, from Alexandria.

Lattice parameters (Å, degrees): 4.7573 4.7573 4.6597 90.00 90.00 90.00
Last column: nearest neighbours and their distance in Å.
Fractional positions:
Al (0.0000, 0.0000, 0.0000)  2 Se 2.33, 4 Rh 2.38
Rh (0.0000, 0.5000, 0.0000)  2 Al 2.38
Rh (0.5000, 0.0000, 0.0000)  2 Al 2.38
Se (0.0000, 0.0000, 0.5000)  2 Al 2.33
Br (0.5000, 0.5000, 0.5000)  8 Rh 3.33, 4 Se 3.36

Computed properties:
ΔE_f (raw) in meV per atom: 697.8
Crystal system: tetragonal


[9]
The following is a PBE calculation of crystalline SrTcIr at its relaxed geometry, from Alexandria.

Lattice parameters (Å, degrees): 5.8067 5.8067 5.8067 134.54 99.06 98.12
Last column: nearest neighbours and their distance in Å.
Fractional positions:
Sr (0.0000, 0.0000, 0.0000)  6 Ir 3.17-3.18, 6 Tc 3.31-3.52, 2 Sr 3.48
Sr (0.6509, 0.1509, 0.5000)  6 Tc 3.13-3.26, 6 Ir 3.36-3.43, 2 Sr 3.48
Tc (0.2546, 0.4076, 0.8470)  1 Tc 2.31, 2 Ir 2.58
Tc (0.5606, 0.4076, 0.1530)  1 Tc 2.31, 2 Ir 2.58
Ir (0.0734, 0.7421, 0.3313)  1 Ir 2.54, 2 Tc 2.58
Ir (0.4108, 0.7421, 0.6687)  1 Ir 2.54, 2 Tc 2.58

Computed properties:
Crystal system: orthorhombic
E_form in meV per atom: 74.5
Energy relative to the lowest polymorph listed for this composition in meV/atom: 71.7


[10]
The following is a PBE calculation of crystalline RbPr2I7 at its relaxed geometry, from Alexandria.

Lattice parameters (Å, degrees): 9.4952 9.4952 6.2591 90.00 90.00 116.12
Last column: nearest neighbours and their distance in Å.
Fractional positions:
Rb (0.0000, 0.0000, 0.0000)  10 I 4.27-4.70
Pr (0.3018, 0.6982, 0.5000)  7 I 3.13-3.29
Pr (0.6982, 0.3018, 0.5000)  7 I 3.13-3.29
I (0.0499, 0.3253, 0.5000)  2 Pr 3.25-3.29
I (0.2919, 0.7081, 0.0000)  2 Pr 3.13
I (0.3253, 0.0499, 0.5000)  2 Pr 3.25-3.29
I (0.5000, 0.5000, 0.5000)  2 Pr 3.19
I (0.6747, 0.9501, 0.5000)  2 Pr 3.25-3.29
I (0.7081, 0.2919, 0.0000)  2 Pr 3.13
I (0.9501, 0.6747, 0.5000)  2 Pr 3.25-3.29

Computed properties:
ΔE_f (raw) in meV per atom: -1391.9
Crystal system: orthorhombic


[11]
The following is a PBE calculation of crystalline Li2Sn3Hg2 at its relaxed geometry, from Alexandria.

Lattice parameters (Å, degrees): 4.8632 4.8632 8.4170 107.01 107.01 59.77
Last column: nearest neighbours and their distance in Å.
Fractional positions:
Li (0.2298, 0.2298, 0.1928)  4 Hg 2.80-3.09, 1 Sn 3.11
Li (0.7702, 0.7702, 0.8072)  4 Hg 2.80-3.09, 1 Sn 3.11
Sn (0.3616, 0.3616, 0.5857)  4 Sn 3.11-3.28, 4 Li 3.11-3.32, 3 Hg 3.29
Sn (0.5000, 0.5000, 0.0000)  6 Li 3.18-3.21, 6 Hg 3.20-3.22, 2 Sn 3.28
Sn (0.6384, 0.6384, 0.4143)  4 Sn 3.11-3.28, 4 Li 3.11-3.32, 3 Hg 3.29
Hg (0.1021, 0.1021, 0.8024)  4 Li 2.80-3.09
Hg (0.8979, 0.8979, 0.1976)  4 Li 2.80-3.09

Computed properties:
Crystal system: monoclinic
E_form in meV per atom: -182.3


[12]
The following is a PBE calculation of crystalline GaSbS2N at its relaxed geometry, from Alexandria.

Lattice parameters (Å, degrees): 5.0823 5.0823 3.9938 90.00 90.00 90.00
Last column: nearest neighbours and their distance in Å.
Fractional positions:
Ga (0.0000, 0.0000, 0.0000)  8 S 3.23, 4 N 3.59
Sb (0.5000, 0.5000, 0.5000)  2 N 2.00
S (0.0000, 0.5000, 0.5000)  2 Sb 2.54
S (0.5000, 0.0000, 0.5000)  2 Sb 2.54
N (0.5000, 0.5000, 0.0000)  2 Sb 2.00

Computed properties:
ΔE_f (raw) in meV per atom: 669.7
Crystal system: tetragonal
Energy relative to the lowest polymorph listed for this composition in meV/atom: 154.3


| no. | electronic total energy (eV for the cell shown) | N(E_F) (states/eV per cell) |
| --- | --- | --- |
| 1 | -40.122 | 4.64 |
| 2 | -41.460 | 10.22 |
| 3 | -17.797 | 7.86 |
| 4 | -26.965 | 2.95 |
| 5 | -93.838 | 26.17 |
| 6 | -11.009 | 4.85 |
| 7 | -122.607 | 17.94 |
| 8 | -20.114 | 8.16 |
| 9 | -41.371 | 4.33 |
| 10 | -35.296 | 0.00 |
| 11 | -17.716 | 2.39 |
| 12 | -20.381 | 4.63 |